Material: Be2CdIn
Method: DFT, PBE
State: relaxed

The structure in POSCAR format:
```
Be2CdIn
1.0
3.825 0.000 0.000
0.000 3.844 -0.002
0.000 1.863 4.455
Be Cd In
2 1 1
Direct
0.500 0.061 0.254 Be
0.000 0.189 0.996 Be
0.000 0.482 0.414 Cd
0.500 0.767 0.836 In
```

Values from the calculation:
DFT formation energy	385	meV/atom
total moment	0.000	μB/f.u.

Material: BeCd2In
Method: DFT, PBE
State: relaxed

The structure in POSCAR format:
```
BeCd2In
1.0
-2.360 -0.927 -4.367
2.640 -3.904 1.813
-2.856 -1.106 1.778
Be In Cd
1 1 2
Direct
0.000 0.500 0.500 Be
0.500 0.000 0.500 In
0.500 0.500 0.000 Cd
0.000 0.000 0.000 Cd
```

Values from the calculation:
DFT formation energy	390	meV/atom
total moment	0.000	μB/f.u.

> What is the formula in the second record?

BeCd2In